## GaHgBi2 (GGA-PBE)

Data for an optimized crystal structure of GaHgBi2.

a = 4.9809 Å, b = 4.9809 Å, c = 4.4264 Å
α = 90.00°, β = 90.00°, γ = 90.00°
With the nearest neighbours (Å) after each atom.
Positions (direct):
Ga (0.0000, 0.0000, 0.0000)  8 Bi 3.33, 4 Hg 3.52
Hg (0.5000, 0.5000, 0.0000)  8 Bi 3.33, 4 Ga 3.52
Bi (0.0000, 0.5000, 0.5000)  4 Hg 3.33, 4 Ga 3.33, 4 Bi 3.52
Bi (0.5000, 0.0000, 0.5000)  4 Hg 3.33, 4 Ga 3.33, 4 Bi 3.52

Results
Its formation energy from the elements is 0.11 eV/atom.